1.
The following is a PBE calculation of a relaxed KNdTeO crystal, from OQMD via LeMat-Bulk.

Geometry as CIF:
```
data_KNdTeO
_symmetry_space_group_name_H-M 'P m c 21'
_symmetry_Int_Tables_number 26
_cell_length_a 4.9154
_cell_length_b 8.5309
_cell_length_c 6.9460
_cell_angle_alpha 90.00
_cell_angle_beta 90.00
_cell_angle_gamma 90.00
loop_
_symmetry_equiv_pos_as_xyz
'x,y,z'
'-x,-y,z+1/2'
'-x,y,z'
'x,-y,z+1/2'
loop_
_atom_site_label
_atom_site_fract_x
_atom_site_fract_y
_atom_site_fract_z
K1 0.0000 0.2151 0.0000
Nd1 0.5000 0.3854 0.3962
Te1 0.0000 0.1923 0.5127
O1 0.5000 0.4053 0.0789
```

Computed properties:
Magnetization = 0.00 μB per formula unit
VASP energy = -43.175 eV/cell
Energy above the lowest structure with this stoichiometry = 0.128 eV per atom

***

2.
The following is a PBE calculation of a relaxed KNdOs crystal, from OQMD via LeMat-Bulk.

Geometry as CIF:
```
data_KNdOs
_symmetry_space_group_name_H-M 'F -4 3 m'
_symmetry_Int_Tables_number 216
_symmetry_space_group_name_Hall 'F -4 2 3'
_cell_length_a 7.0301
_cell_length_b 7.0301
_cell_length_c 7.0301
_cell_angle_alpha 90.00
_cell_angle_beta 90.00
_cell_angle_gamma 90.00
loop_
_atom_site_label
_atom_site_fract_x
_atom_site_fract_y
_atom_site_fract_z
K1 0.0000 0.0000 0.0000
Nd1 0.0000 0.0000 0.5000
Os1 0.2500 0.2500 0.2500
```

Computed properties:
Magnetization = 0.00 μB per formula unit
VASP energy = -56.385 eV/cell
Energy above the lowest structure with this stoichiometry = 0.000 eV per atom

***

3.
The following is a PBE calculation of a relaxed KNdOsS4 crystal, from OQMD via LeMat-Bulk.

Geometry as CIF:
```
data_KNdOsS4
_symmetry_space_group_name_H-M 'P 1 21 1'
_symmetry_Int_Tables_number 4
_cell_length_a 6.7500
_cell_length_b 6.5939
_cell_length_c 8.6856
_cell_angle_alpha 90.00
_cell_angle_beta 109.42
_cell_angle_gamma 90.00
loop_
_symmetry_equiv_pos_as_xyz
'x,y,z'
'-x,y+1/2,-z'
loop_
_atom_site_label
_atom_site_fract_x
_atom_site_fract_y
_atom_site_fract_z
K1 0.2385 0.0000 0.0520
Nd1 0.2088 0.9926 0.5486
Os1 0.2842 0.4770 0.3517
S1 0.0091 0.2515 0.2862
S2 0.0224 0.7252 0.2854
S3 0.4291 0.5485 0.1621
S4 0.4835 0.6364 0.5882
```

Computed properties:
Magnetization = 0.00 μB per formula unit
VASP energy = -80.681 eV/cell

***

4.
The following is a PBE calculation of a relaxed K3NdP2 crystal, from OQMD via LeMat-Bulk.

Geometry as CIF:
```
data_K3NdP2
_symmetry_space_group_name_H-M 'I b a m'
_symmetry_Int_Tables_number 72
_symmetry_space_group_name_Hall '-I 2 2c'
_cell_length_a 7.8607
_cell_length_b 15.1357
_cell_length_c 7.3921
_cell_angle_alpha 90.00
_cell_angle_beta 90.00
_cell_angle_gamma 90.00
loop_
_atom_site_label
_atom_site_fract_x
_atom_site_fract_y
_atom_site_fract_z
K1 0.0000 0.0000 0.2500
K2 0.2004 0.3031 0.0000
Nd1 0.0000 0.5000 0.2500
P1 0.1966 0.4006 0.5000
```

Computed properties:
Magnetization = 0.00 μB per formula unit
VASP energy = -90.225 eV/cell

***

5.
The following is a PBE calculation of a relaxed K3Nd3P4S16 crystal, from OQMD via LeMat-Bulk.

Geometry as CIF:
```
data_K3Nd3P4S16
_symmetry_space_group_name_H-M 'C 1 2/c 1'
_symmetry_Int_Tables_number 15
_cell_length_a 16.2969
_cell_length_b 11.7435
_cell_length_c 14.8896
_cell_angle_alpha 90.00
_cell_angle_beta 90.62
_cell_angle_gamma 90.00
loop_
_symmetry_equiv_pos_as_xyz
'x,y,z'
'-x,-y,-z'
'-x,y,-z+1/2'
'x,-y,z+1/2'
'x+1/2,y+1/2,z'
'-x+1/2,-y+1/2,-z'
'-x+1/2,y+1/2,-z+1/2'
'x+1/2,-y+1/2,z+1/2'
loop_
_atom_site_label
_atom_site_fract_x
_atom_site_fract_y
_atom_site_fract_z
K1 0.0000 0.0000 0.0000
K2 0.2102 0.1809 0.3376
Nd1 0.0000 0.2518 0.7500
Nd2 0.1303 0.3818 0.0125
P1 0.0819 0.3151 0.5236
P2 0.1847 0.1470 0.8597
S1 0.0090 0.2621 0.4183
S2 0.0197 0.4345 0.6024
S3 0.0927 0.0503 0.8053
S4 0.1106 0.1832 0.6066
S5 0.1601 0.3164 0.8277
S6 0.1847 0.3925 0.4756
S7 0.1856 0.1323 0.9975
S8 0.2031 0.3972 0.1886
```

Computed properties:
Magnetization = 0.00 μB per formula unit
VASP energy = -534.990 eV/cell

***

6.
The following is a PBE calculation of a relaxed K2NdP2S7 crystal, from OQMD via LeMat-Bulk.

Geometry as CIF:
```
data_K2NdP2S7
_symmetry_space_group_name_H-M 'P 1 21/c 1'
_symmetry_Int_Tables_number 14
_cell_length_a 9.1304
_cell_length_b 6.8734
_cell_length_c 20.9838
_cell_angle_alpha 90.00
_cell_angle_beta 108.58
_cell_angle_gamma 90.00
loop_
_symmetry_equiv_pos_as_xyz
'x,y,z'
'-x,-y,-z'
'-x,y+1/2,-z+1/2'
'x,-y+1/2,z+1/2'
loop_
_atom_site_label
_atom_site_fract_x
_atom_site_fract_y
_atom_site_fract_z
K1 0.1633 0.0288 0.3110
K2 0.2483 0.5100 0.4908
Nd1 0.3396 0.0315 0.6504
P1 0.0390 0.0088 0.4551
P2 0.4305 0.5134 0.3306
S1 0.0436 0.2377 0.5990
S2 0.0726 0.7419 0.0987
S3 0.2154 0.0167 0.7608
S4 0.2702 0.0329 0.4933
S5 0.4170 0.0784 0.2211
S6 0.4377 0.7433 0.3931
S7 0.4869 0.2270 0.8909
```

Computed properties:
Magnetization = 0.00 μB per formula unit
VASP energy = -236.502 eV/cell

***

7.
The following is a PBE calculation of a relaxed KNdPbS4 crystal, from OQMD via LeMat-Bulk.

Geometry as CIF:
```
data_KNdPbS4
_symmetry_space_group_name_H-M 'P 1 21 1'
_symmetry_Int_Tables_number 4
_cell_length_a 7.0109
_cell_length_b 6.9803
_cell_length_c 8.8690
_cell_angle_alpha 90.00
_cell_angle_beta 108.20
_cell_angle_gamma 90.00
loop_
_symmetry_equiv_pos_as_xyz
'x,y,z'
'-x,y+1/2,-z'
loop_
_atom_site_label
_atom_site_fract_x
_atom_site_fract_y
_atom_site_fract_z
K1 0.2272 0.0000 0.4379
Nd1 0.2800 0.0040 0.9494
Pb1 0.2636 0.5252 0.1763
S1 0.0316 0.6380 0.9122
S2 0.0458 0.5617 0.3448
S3 0.4624 0.2776 0.7813
S4 0.4971 0.7481 0.7901
```

Computed properties:
Magnetization = 0.00 μB per formula unit
VASP energy = -66.477 eV/cell

***

8.
The following is a PBE calculation of a relaxed KNdPbSe3 crystal, from OQMD via LeMat-Bulk.

Geometry as CIF:
```
data_KNdPbSe3
_symmetry_space_group_name_H-M 'C m c m'
_symmetry_Int_Tables_number 63
_symmetry_space_group_name_Hall '-C 2c 2'
_cell_length_a 4.3372
_cell_length_b 17.8273
_cell_length_c 12.2221
_cell_angle_alpha 90.00
_cell_angle_beta 90.00
_cell_angle_gamma 90.00
loop_
_atom_site_label
_atom_site_fract_x
_atom_site_fract_y
_atom_site_fract_z
K1 0.0000 0.1515 0.2500
Nd1 0.0000 0.5000 0.0000
Pb1 0.0000 0.1080 0.7500
Se1 0.0000 0.1133 0.5048
Se2 0.0000 0.5004 0.2500
```

Computed properties:
Magnetization = 0.01 μB per formula unit
VASP energy = -108.531 eV/cell
Energy above the lowest structure with this stoichiometry = 0.095 eV per atom

***

9.
The following is a PBE calculation of a relaxed KNdPbSe3 crystal, from OQMD via LeMat-Bulk.

Geometry as CIF:
```
data_KNdPbSe3
_symmetry_space_group_name_H-M 'C 1 2/m 1'
_symmetry_Int_Tables_number 12
_cell_length_a 18.7645
_cell_length_b 4.3856
_cell_length_c 9.8920
_cell_angle_alpha 90.00
_cell_angle_beta 104.10
_cell_angle_gamma 90.00
loop_
_symmetry_equiv_pos_as_xyz
'x,y,z'
'-x,-y,-z'
'-x,y,-z'
'x,-y,z'
'x+1/2,y+1/2,z'
'-x+1/2,-y+1/2,-z'
'-x+1/2,y+1/2,-z'
'x+1/2,-y+1/2,z'
loop_
_atom_site_label
_atom_site_fract_x
_atom_site_fract_y
_atom_site_fract_z
K1 0.1439 0.0000 0.0709
Nd1 0.1728 0.0000 0.5859
Pb1 0.0079 0.5000 0.7194
Se1 0.0000 0.0000 0.5000
Se2 0.0000 0.5000 0.0000
Se3 0.1685 0.5000 0.3758
Se4 0.1699 0.5000 0.7883
```

Computed properties:
Magnetization = 0.00 μB per formula unit
VASP energy = -110.811 eV/cell
Energy above the lowest structure with this stoichiometry = 0.000 eV per atom

***

10.
The following is a PBE calculation of a relaxed KNdPd crystal, from OQMD via LeMat-Bulk.

Geometry as CIF:
```
data_KNdPd
_symmetry_space_group_name_H-M 'F -4 3 m'
_symmetry_Int_Tables_number 216
_symmetry_space_group_name_Hall 'F -4 2 3'
_cell_length_a 7.2568
_cell_length_b 7.2568
_cell_length_c 7.2568
_cell_angle_alpha 90.00
_cell_angle_beta 90.00
_cell_angle_gamma 90.00
loop_
_atom_site_label
_atom_site_fract_x
_atom_site_fract_y
_atom_site_fract_z
K1 0.0000 0.0000 0.0000
Nd1 0.0000 0.0000 0.5000
Pd1 0.2500 0.2500 0.2500
```

Computed properties:
Magnetization = 0.00 μB per formula unit
VASP energy = -43.829 eV/cell

***

11.
The following is a PBE calculation of a relaxed K3PmNd crystal, from OQMD via LeMat-Bulk.

Geometry as CIF:
```
data_K3PmNd
_symmetry_space_group_name_H-M 'P -3 1 m'
_symmetry_Int_Tables_number 162
_symmetry_space_group_name_Hall '-P 3 2'
_cell_length_a 6.6284
_cell_length_b 6.6284
_cell_length_c 12.9705
_cell_angle_alpha 90.00
_cell_angle_beta 90.00
_cell_angle_gamma 120.00
loop_
_atom_site_label
_atom_site_fract_x
_atom_site_fract_y
_atom_site_fract_z
K1 0.0000 0.3571 0.3395
Pm1 0.3333 0.6667 0.0000
Nd1 0.0000 0.0000 0.1130
```

Computed properties:
Magnetization = 0.90 μB per formula unit
VASP energy = -21.158 eV/cell

***

12.
The following is a PBE calculation of a relaxed KNdPt crystal, from OQMD via LeMat-Bulk.

Geometry as CIF:
```
data_KNdPt
_symmetry_space_group_name_H-M 'F -4 3 m'
_symmetry_Int_Tables_number 216
_symmetry_space_group_name_Hall 'F -4 2 3'
_cell_length_a 7.1941
_cell_length_b 7.1941
_cell_length_c 7.1941
_cell_angle_alpha 90.00
_cell_angle_beta 90.00
_cell_angle_gamma 90.00
loop_
_atom_site_label
_atom_site_fract_x
_atom_site_fract_y
_atom_site_fract_z
K1 0.0000 0.0000 0.0000
Nd1 0.0000 0.0000 0.5000
Pt1 0.2500 0.2500 0.2500
```

Computed properties:
Magnetization = 0.00 μB per formula unit
VASP energy = -50.308 eV/cell
Energy above the lowest structure with this stoichiometry = 0.000 eV per atom